Entry i
# TlBiPb, relaxed, DFT PBE
# Fermi-level density of states   1.21 states/eV per cell
# Total moment   0.0 μB per formula unit
data_TlBiPb
_symmetry_space_group_name_H-M 'P 1'
_symmetry_Int_Tables_number 1
_symmetry_space_group_name_Hall 'P 1'
_cell_length_a 5.6651
_cell_length_b 5.6651
_cell_length_c 3.4719
_cell_angle_alpha 90.00
_cell_angle_beta 90.00
_cell_angle_gamma 120.00
loop_
_atom_site_label
_atom_site_fract_x
_atom_site_fract_y
_atom_site_fract_z
Tl1 0.0000 0.0000 0.0000
Bi1 0.6667 0.3333 0.4366
Pb1 0.3333 0.6667 0.5346


Entry ii
# TlBiPb, relaxed, DFT PBE
# Fermi-level density of states   2.29 states/eV per cell
# Total moment   0.0 μB per formula unit
data_TlBiPb
_symmetry_space_group_name_H-M 'P 1'
_symmetry_Int_Tables_number 1
_symmetry_space_group_name_Hall 'P 1'
_cell_length_a 9.5439
_cell_length_b 9.5439
_cell_length_c 9.5439
_cell_angle_alpha 160.03
_cell_angle_beta 160.03
_cell_angle_gamma 28.39
loop_
_atom_site_label
_atom_site_fract_x
_atom_site_fract_y
_atom_site_fract_z
Tl1 0.0000 0.0000 0.0000
Bi1 0.8207 0.8207 0.0000
Pb1 0.6466 0.6466 0.0000


Most stable of them? entry i.